Entry 1:
PBEsol CaPt2W, optimized geometry; crystal system = cubic; E above lowest polymorph = 214 meV per atom; volume = 65.8 Å³/cell; energy of formation from the pure elements = 19.2 kJ/mol of atoms
1.0
4.531 0.000 0.000
2.265 3.924 0.000
2.265 1.308 3.699
W Pt Ca
1 2 1
Direct
0.750 0.750 0.750
0.000 0.000 0.000
0.250 0.250 0.250
0.500 0.500 0.500

Entry 2:
PBEsol CaYPt2, optimized geometry; crystal system = tetragonal; N(E_F) = 1.66 states/eV per cell; volume = 92.1 Å³/cell; energy of formation from the pure elements = -72.5 kJ/mol of atoms
1.0
4.026 0.000 0.000
0.000 4.026 0.000
0.000 0.000 5.683
Y Pt Ca
1 2 1
Direct
0.000 0.000 0.000
0.500 0.500 0.000
0.000 0.000 0.500
0.500 0.500 0.500

Entry 3:
PBEsol CaYPt2, optimized geometry; crystal system = orthorhombic; N(E_F) = 1.62 states/eV per cell; volume = 86.7 Å³/cell; energy of formation from the pure elements = -97.5 kJ/mol of atoms
1.0
3.793 0.000 0.000
0.000 4.351 0.000
-1.897 0.000 5.255
Pt Ca Y
2 1 1
Direct
0.205 0.000 0.410
0.042 0.500 0.085
0.767 0.500 0.535
0.485 0.000 0.970

Entry 4:
PBEsol Ca2YPt, optimized geometry; crystal system = tetragonal; N(E_F) = 2.55 states/eV per cell; E above lowest polymorph = 18 meV per atom; volume = 115.8 Å³/cell; energy of formation from the pure elements = -52.0 kJ/mol of atoms
1.0
3.547 0.000 0.000
0.000 3.547 0.000
0.000 0.000 9.206
Pt Ca Y
1 2 1
Direct
0.000 0.000 0.519
0.500 0.500 0.321
0.000 0.000 0.987
0.500 0.500 0.673

Entry 5:
PBEsol CaYPt2, optimized geometry; crystal system = tetragonal; N(E_F) = 1.58 states/eV per cell; volume = 81.9 Å³/cell; energy of formation from the pure elements = -98.7 kJ/mol of atoms
1.0
-0.281 3.269 0.999
-3.418 -0.291 -0.011
0.150 -2.021 6.656
Y Pt Ca
1 2 1
Direct
0.500 0.500 0.000
0.000 0.000 0.233
0.000 0.000 0.767
0.500 0.500 0.500

Entry 6:
PBEsol CaY2Pt, optimized geometry; crystal system = cubic; N(E_F) = 3.94 states/eV per cell; volume = 95.0 Å³/cell; energy of formation from the pure elements = -30.2 kJ/mol of atoms
1.0
5.121 0.000 0.000
2.561 4.435 0.000
2.561 1.478 4.182
Ca Pt Y
1 1 2
Direct
0.000 0.000 0.000
0.500 0.500 0.500
0.750 0.750 0.750
0.250 0.250 0.250